An optimized crystal structure of Hf2FeH2, computed with PBE.

Results
space-group type	I4/mmm (139)
energy above the lowest structure with this stoichiometry	0.0	kJ/mol of atoms
total moment	0.00	μB/atom
total energy	-7.45	eV per atom

a = 6.369 Å, b = 6.369 Å, c = 6.369 Å
α = 151.82°, β = 151.82°, γ = 40.28°
Element x y z (fractional)
1 Hf 0.134 0.134 0.000
2 Hf 0.866 0.866 0.000
3 Fe 0.500 0.500 0.000
4 H 0.250 0.750 0.500
5 H 0.750 0.250 0.500

---

An optimized crystal structure of Cs4InSn3Cl12, computed with PBE.

Results
space-group type	Im-3m (229)
total moment	0.00	μB/atom
total energy	-3.45	eV per atom
formation energy from raw total energies	-1.434	eV/atom

a = 9.675 Å, b = 9.675 Å, c = 9.675 Å
α = 109.47°, β = 109.47°, γ = 109.47°
Element x y z (fractional)
1 Cs 0.000 0.000 0.500
2 Cs 0.000 0.500 0.000
3 Cs 0.500 0.000 0.000
4 Cs 0.500 0.500 0.500
5 In 0.000 0.000 0.000
6 Sn 0.000 0.500 0.500
7 Sn 0.500 0.000 0.500
8 Sn 0.500 0.500 0.000
9 Cl 0.000 0.249 0.249
10 Cl 0.000 0.751 0.751
11 Cl 0.249 0.000 0.249
12 Cl 0.249 0.249 0.000
13 Cl 0.250 0.500 0.750
14 Cl 0.250 0.750 0.500
15 Cl 0.500 0.250 0.750
16 Cl 0.500 0.750 0.250
17 Cl 0.750 0.250 0.500
18 Cl 0.750 0.500 0.250
19 Cl 0.751 0.000 0.751
20 Cl 0.751 0.751 0.000

---

An optimized crystal structure of RbBe3O, computed with PBE.

Results
space-group type	Pm-3m (221)
energy above the lowest structure with this stoichiometry	140.6	kJ/mol of atoms
total moment	0.25	μB/atom
total energy	-0.90	eV per atom
formation energy from raw total energies	2.517	eV/atom

a = 6.855 Å, b = 6.855 Å, c = 6.855 Å
α = 90.00°, β = 90.00°, γ = 90.00°
Element x y z (fractional)
1 Rb 0.000 0.000 0.000
2 Be 0.000 0.000 0.500
3 Be 0.000 0.500 0.000
4 Be 0.500 0.000 0.000
5 O 0.500 0.500 0.500

---

Q: The lowest total energy belongs to which entry?
A: Hf2FeH2